No. 1
Here is crystalline TmPa3As4 at its relaxed geometry from the Alexandria database. Energies are from PBE.

Properties
* symmetry: P2/c
* total magnetization: 0.00 Bohr magnetons per cell
* V: 24.1 A^3/atom
* uncorrected energy: -7.598 eV per atom
* DFT formation energy: -1.15 eV/atom

The structure in CIF format:
```
data_TmPa3As4
_chemical_formula_sum 'Tm2 Pa6 As8'
_symmetry_space_group_name_H-M 'P 1'
_symmetry_Int_Tables_number 1
_symmetry_space_group_name_Hall 'P 1'
_cell_length_a 7.072
_cell_length_b 8.182
_cell_length_c 7.065
_cell_angle_alpha 90.00
_cell_angle_beta 109.59
_cell_angle_gamma 90.00
loop_
_atom_site_label
_atom_site_fract_x
_atom_site_fract_y
_atom_site_fract_z
_atom_site_occupancy
Tm1 0.000 0.124 0.250 1
Tm2 0.000 0.876 0.750 1
Pa1 0.000 0.375 0.750 1
Pa2 0.000 0.625 0.250 1
Pa3 0.500 0.126 0.750 1
Pa4 0.500 0.376 0.250 1
Pa5 0.500 0.624 0.750 1
Pa6 0.500 0.874 0.250 1
As1 0.247 0.372 0.497 1
As2 0.247 0.628 0.997 1
As3 0.248 0.123 0.000 1
As4 0.248 0.877 0.500 1
As5 0.752 0.123 0.500 1
As6 0.752 0.877 0.000 1
As7 0.753 0.372 0.003 1
As8 0.753 0.628 0.503 1
```

***

No. 2
Here is crystalline Tm3PaAs4 at its relaxed geometry from the Alexandria database. Energies are from PBE.

Properties
* symmetry: I4/mmm
* total magnetization: 0.00 Bohr magnetons per cell
* V: 23.8 A^3/atom
* uncorrected energy: -6.580 eV per atom
* DFT formation energy: -1.39 eV/atom

The structure in CIF format:
```
data_Tm3PaAs4
_chemical_formula_sum 'Tm3 Pa1 As4'
_symmetry_space_group_name_H-M 'P 1'
_symmetry_Int_Tables_number 1
_symmetry_space_group_name_Hall 'P 1'
_cell_length_a 7.038
_cell_length_b 7.038
_cell_length_c 7.038
_cell_angle_alpha 131.77
_cell_angle_beta 131.77
_cell_angle_gamma 70.60
loop_
_atom_site_label
_atom_site_fract_x
_atom_site_fract_y
_atom_site_fract_z
_atom_site_occupancy
Tm1 0.000 0.000 0.000 1
Tm2 0.250 0.750 0.500 1
Tm3 0.750 0.250 0.500 1
Pa1 0.500 0.500 0.000 1
As1 0.000 0.500 0.500 1
As2 0.252 0.252 0.000 1
As3 0.500 0.000 0.500 1
As4 0.748 0.748 0.000 1
```

***

No. 3
Here is crystalline TmPaAs2 at its relaxed geometry from the Alexandria database. Energies are from PBE.

Properties
* symmetry: R3m
* distance to the lowest polymorph of the same formula: 143 meV/atom
* total magnetization: 0.00 Bohr magnetons per cell
* V: 24.4 A^3/atom
* uncorrected energy: -6.932 eV per atom
* DFT formation energy: -1.12 eV/atom

The structure in CIF format:
```
data_TmPaAs2
_chemical_formula_sum 'Tm1 Pa1 As2'
_symmetry_space_group_name_H-M 'P 1'
_symmetry_Int_Tables_number 1
_symmetry_space_group_name_Hall 'P 1'
_cell_length_a 7.339
_cell_length_b 7.339
_cell_length_c 7.339
_cell_angle_alpha 31.81
_cell_angle_beta 31.81
_cell_angle_gamma 31.81
loop_
_atom_site_label
_atom_site_fract_x
_atom_site_fract_y
_atom_site_fract_z
_atom_site_occupancy
Tm1 0.000 0.000 0.000 1
Pa1 0.824 0.824 0.824 1
As1 0.244 0.244 0.244 1
As2 0.411 0.411 0.411 1
```

***

No. 4
Here is crystalline TmPa5As6 at its relaxed geometry from the Alexandria database. Energies are from PBE.

Properties
* symmetry: C2/m
* total magnetization: 0.00 Bohr magnetons per cell
* V: 24.1 A^3/atom
* uncorrected energy: -7.778 eV per atom
* DFT formation energy: -1.12 eV/atom

The structure in CIF format:
```
data_TmPa5As6
_chemical_formula_sum 'Tm1 Pa5 As6'
_symmetry_space_group_name_H-M 'P 1'
_symmetry_Int_Tables_number 1
_symmetry_space_group_name_Hall 'P 1'
_cell_length_a 7.081
_cell_length_b 7.081
_cell_length_c 7.076
_cell_angle_alpha 99.61
_cell_angle_beta 99.61
_cell_angle_gamma 120.02
loop_
_atom_site_label
_atom_site_fract_x
_atom_site_fract_y
_atom_site_fract_z
_atom_site_occupancy
Tm1 0.000 0.000 0.000 1
Pa1 0.167 0.833 0.500 1
Pa2 0.334 0.666 0.000 1
Pa3 0.500 0.500 0.500 1
Pa4 0.666 0.334 0.000 1
Pa5 0.833 0.167 0.500 1
As1 0.082 0.413 0.247 1
As2 0.248 0.248 0.751 1
As3 0.413 0.082 0.247 1
As4 0.587 0.918 0.753 1
As5 0.752 0.752 0.249 1
As6 0.918 0.587 0.753 1
```

***

Which value of V does entry 3 give?
24.4 A^3/atom